The following is a DFT calculation (PBE-GGA) of an optimized crystal structure of TaSb.

Geometry as CIF:
```
data_TaSb
_symmetry_space_group_name_H-M 'P 63/m'
_symmetry_Int_Tables_number 176
_symmetry_space_group_name_Hall '-P 6c'
_cell_length_a 9.5620
_cell_length_b 9.5620
_cell_length_c 3.6791
_cell_angle_alpha 90.00
_cell_angle_beta 90.00
_cell_angle_gamma 120.00
loop_
_atom_site_label
_atom_site_type_symbol
_atom_site_fract_x
_atom_site_fract_y
_atom_site_fract_z
Ta1 Ta 0.1390 0.6156 0.2500
Sb1 Sb 0.0345 0.2903 0.2500
```

Uncorrected formation energy, kJ/mol of formula units: 83
Fermi-level density of states, states/eV/cell: 11.53
ρ, Mg/m³: 10.35
Total DFT energy (no corrections), eV for the cell shown: -90.69